Here is Li10CoSi2O10 after structural relaxation from Alexandria. Energies are from PBE with a Hubbard U.

Lattice parameters (Å, degrees): 5.2112 6.1583 15.4371 100.52 98.72 90.98
Closest atoms and distances in Å follow each position.
Space group P1 (No. 1)
Inequivalent atoms, fractional coordinates:
Li1 0.0000 0.0000 0.0000 (multiplicity 1)  4 O 1.98-2.11
Li2 0.0011 0.1490 0.8546 (multiplicity 1)  4 O 2.00-2.13
Li3 0.0684 0.4276 0.0319 (multiplicity 1)  4 O 2.02-2.06
Li4 0.2060 0.2615 0.2161 (multiplicity 1)  3 O 2.04-2.12
Li5 0.2498 0.5009 0.5959 (multiplicity 1)  3 O 1.90-1.99
Li6 0.2625 0.7731 0.1395 (multiplicity 1)  3 O 1.90-1.99
Li7 0.3068 0.0125 0.5195 (multiplicity 1)  3 O 2.04-2.12
Li8 0.4434 0.8461 0.7036 (multiplicity 1)  4 O 2.02-2.06
Li9 0.5098 0.1250 0.8807 (multiplicity 1)  4 O 2.00-2.13
Li10 0.5116 0.2736 0.7353 (multiplicity 1)  4 O 1.98-2.11
Li11 0.5337 0.5845 0.2595 (multiplicity 1)  4 O 1.87-2.05
Li12 0.5698 0.0689 0.2618 (multiplicity 1)  4 O 1.88-2.02
Li13 0.6093 0.8936 0.4091 (multiplicity 1)  4 O 1.97-2.13
Li14 0.7164 0.2908 0.6027 (multiplicity 1)  4 O 1.92-2.05
Li15 0.7283 0.7176 0.5989 (multiplicity 1)  4 O 1.88-2.06
Li16 0.7839 0.5566 0.1366 (multiplicity 1)  4 O 1.87-2.06
Li17 0.7964 0.9834 0.1327 (multiplicity 1)  4 O 1.92-2.05
Li18 0.9032 0.3804 0.3264 (multiplicity 1)  4 O 1.97-2.13
Li19 0.9429 0.2050 0.4737 (multiplicity 1)  4 O 1.88-2.02
Li20 0.9789 0.6895 0.4760 (multiplicity 1)  4 O 1.87-2.05
Co1 0.7378 0.6391 0.9473 (multiplicity 1)  3 O 1.84-2.00
Co2 0.7717 0.6348 0.7884 (multiplicity 1)  3 O 1.84-2.00
Si1 0.0392 0.0404 0.6646 (multiplicity 1)  4 O 1.65-1.66
Si2 0.0642 0.8648 0.3074 (multiplicity 1)  4 O 1.65-1.68
Si3 0.4484 0.4091 0.4281 (multiplicity 1)  4 O 1.65-1.68
Si4 0.4730 0.2334 0.0709 (multiplicity 1)  4 O 1.65-1.66
O1 0.0192 0.9214 0.4128 (multiplicity 1)  1 Si 1.65
O2 0.0943 0.2249 0.6036 (multiplicity 1)  1 Si 1.65
O3 0.1142 0.7983 0.6088 (multiplicity 1)  1 Si 1.66
O4 0.1410 0.4269 0.4409 (multiplicity 1)  1 Si 1.65
O5 0.2325 0.0862 0.7618 (multiplicity 1)  1 Si 1.65
O6 0.2792 0.1876 0.9737 (multiplicity 1)  1 Si 1.65
O7 0.3717 0.8471 0.2946 (multiplicity 1)  1 Si 1.65
O8 0.3981 0.4756 0.1267 (multiplicity 1)  1 Si 1.66
O9 0.4184 0.0490 0.1319 (multiplicity 1)  1 Si 1.65
O10 0.4935 0.3525 0.3227 (multiplicity 1)  1 Si 1.65
O11 0.5695 0.2067 0.4793 (multiplicity 1)  1 Si 1.68
O12 0.5925 0.5433 0.6749 (multiplicity 1)  1 Co 1.84, 4 Li 1.92-2.03
O13 0.6039 0.6485 0.4762 (multiplicity 1)  1 Si 1.66
O14 0.7241 0.0338 0.6704 (multiplicity 1)  1 Si 1.66
O15 0.7292 0.3900 0.8549 (multiplicity 1)  2 Co 1.89-2.00, 3 Li 2.02-2.11
O16 0.7811 0.8835 0.8806 (multiplicity 1)  2 Co 1.89-2.00, 2 Li 2.02-2.07
O17 0.7879 0.2402 0.0650 (multiplicity 1)  1 Si 1.66
O18 0.9088 0.6255 0.2593 (multiplicity 1)  1 Si 1.66
O19 0.9201 0.7307 0.0604 (multiplicity 1)  1 Co 1.84, 4 Li 1.92-2.03
O20 0.9432 0.0673 0.2562 (multiplicity 1)  1 Si 1.68

Magnetization   0.131 μB/atom
DFT total energy   -5.818 eV per atom